A | First-principles (PBE) data for an optimized crystal structure of La2Dy2Tl, as listed in Alexandria.

Unit cell a=5.5770 b=6.7825 c=9.7347 alpha=103.79 beta=90.00 gamma=114.28
With the nearest neighbours (Å) after each atom.
Element x y z (fractional)
1 La 0.8373 0.6745 0.9502  3 Tl 3.53-3.63, 6 Dy 3.62-3.93, 5 La 3.64-3.89
2 La 0.0234 0.0468 0.3361  4 Dy 3.26-3.61, 1 Tl 3.33, 2 La 3.39-3.64
3 La 0.9766 0.9532 0.6639  4 Dy 3.26-3.61, 1 Tl 3.33, 2 La 3.39-3.64
4 La 0.1627 0.3255 0.0498  3 Tl 3.53-3.63, 6 Dy 3.62-3.93, 5 La 3.64-3.89
5 Dy 0.5196 0.0393 0.8436  1 Tl 3.18, 2 Dy 3.21-3.55, 2 La 3.26
6 Dy 0.3522 0.7043 0.4429  3 Tl 3.27-3.33, 2 Dy 3.53-3.55, 2 La 3.61
7 Dy 0.6478 0.2957 0.5571  3 Tl 3.27-3.33, 2 Dy 3.53-3.55, 2 La 3.61
8 Dy 0.4804 0.9607 0.1564  1 Tl 3.18, 2 Dy 3.21-3.55, 2 La 3.26
9 Tl 0.7453 0.4905 0.2751  4 Dy 3.18-3.33, 3 La 3.33-3.53
10 Tl 0.2547 0.5095 0.7249  4 Dy 3.18-3.33, 3 La 3.33-3.53

Size of the total moment: 0.00 μB per cell
Space-group type: C2/m (12)
Fermi-level density of states: 1.134 states/eV/atom

B | First-principles (PBE) data for an optimized crystal structure of La2Dy2Tl, as listed in Alexandria.

Unit cell a=5.5467 b=5.5444 c=6.7805 alpha=65.83 beta=65.86 gamma=59.99
With the nearest neighbours (Å) after each atom.
Element x y z (fractional)
1 Tl 0.0000 0.0000 0.0000  2 La 3.28, 6 Dy 3.39
2 La 0.8173 0.8174 0.5481  3 La 3.25, 1 Tl 3.28, 3 Dy 3.57
3 La 0.1827 0.1826 0.4519  3 La 3.25, 1 Tl 3.28, 3 Dy 3.57
4 Dy 0.3963 0.3960 0.8115  3 Tl 3.39, 3 La 3.57, 1 Dy 3.72
5 Dy 0.6037 0.6040 0.1885  3 Tl 3.39, 3 La 3.57, 1 Dy 3.72

Size of the total moment: 0.00 μB per cell
Space-group type: R-3m (166)
Fermi-level density of states: 1.226 states/eV/atom

Stability ranking, top and bottom: A is the most stable and B is the least stable.

A | First-principles (PBE) data for an optimized crystal structure of La3DyTl3, as listed in Alexandria.

Unit cell a=6.9892 b=6.9892 c=9.8492 alpha=91.31 beta=91.31 gamma=104.61
With the nearest neighbours (Å) after each atom.
Element x y z (fractional)
1 La 0.5944 0.5944 0.3181  5 Tl 3.35-3.65
2 La 0.4056 0.4056 0.6819  5 Tl 3.35-3.65
3 La 0.7557 0.2443 0.0000  6 Tl 3.38-3.52, 4 Dy 3.46-3.60
4 La 0.1783 0.8217 0.5000  6 Tl 3.25-3.35
5 La 0.2443 0.7557 0.0000  6 Tl 3.38-3.52, 4 Dy 3.46-3.60
6 La 0.8217 0.1783 0.5000  6 Tl 3.25-3.35
7 Dy 0.2749 0.2749 0.0464  4 Tl 3.15-3.33, 2 La 3.46
8 Dy 0.7251 0.7251 0.9536  4 Tl 3.15-3.33, 2 La 3.46
9 Tl 0.0326 0.0326 0.7740  2 Dy 3.22-3.33, 5 La 3.35-3.52, 2 Tl 3.45
10 Tl 0.9409 0.5256 0.7352  1 Dy 3.15, 4 La 3.25-3.42, 1 Tl 3.45
11 Tl 0.4744 0.0591 0.2648  1 Dy 3.15, 4 La 3.25-3.42, 1 Tl 3.45
12 Tl 0.5256 0.9409 0.7352  1 Dy 3.15, 4 La 3.25-3.42, 1 Tl 3.45
13 Tl 0.9674 0.9674 0.2260  2 Dy 3.22-3.33, 5 La 3.35-3.52, 2 Tl 3.45
14 Tl 0.0591 0.4744 0.2648  1 Dy 3.15, 4 La 3.25-3.42, 1 Tl 3.45

Size of the total moment: 0.00 μB per cell
Space-group type: C2/m (12)
Fermi-level density of states: 1.131 states/eV/atom

B | First-principles (PBE) data for an optimized crystal structure of La3DyTl3, as listed in Alexandria.

Unit cell a=9.6955 b=9.6955 c=9.6955 alpha=90.00 beta=90.00 gamma=90.00
With the nearest neighbours (Å) after each atom.
Element x y z (fractional)
1 La 0.3301 0.1699 0.8301  6 Tl 3.30-3.46, 3 La 3.67
2 La 0.3244 0.8244 0.6756  6 Tl 3.27-3.52
3 La 0.0684 0.4316 0.5684  6 Tl 3.30-3.40
4 La 0.5684 0.0684 0.4316  6 Tl 3.30-3.40
5 La 0.1699 0.8301 0.3301  6 Tl 3.30-3.46, 3 La 3.67
6 La 0.8301 0.3301 0.1699  6 Tl 3.30-3.46, 3 La 3.67
7 La 0.6756 0.3244 0.8244  6 Tl 3.27-3.52
8 La 0.1756 0.1756 0.1756  6 Tl 3.27-3.52
9 La 0.9316 0.9316 0.9316  6 Tl 3.30-3.40
10 La 0.8244 0.6756 0.3244  6 Tl 3.27-3.52
11 La 0.6699 0.6699 0.6699  6 Tl 3.30-3.46, 3 La 3.67
12 La 0.4316 0.5684 0.0684  6 Tl 3.30-3.40
13 Tl 0.3662 0.4965 0.7424  2 Dy 3.21-3.41, 6 La 3.27-3.52
14 Tl 0.2576 0.8662 0.0035  2 Dy 3.21-3.41, 6 La 3.27-3.52
15 Tl 0.6338 0.9965 0.7576  2 Dy 3.21-3.41, 6 La 3.27-3.52
16 Tl 0.5035 0.2424 0.1338  2 Dy 3.21-3.41, 6 La 3.27-3.52
17 Tl 0.7424 0.3662 0.4965  2 Dy 3.21-3.41, 6 La 3.27-3.52
18 Tl 0.1338 0.5035 0.2424  2 Dy 3.21-3.41, 6 La 3.27-3.52
19 Tl 0.7576 0.6338 0.9965  2 Dy 3.21-3.41, 6 La 3.27-3.52
20 Tl 0.4965 0.7424 0.3662  2 Dy 3.21-3.41, 6 La 3.27-3.52
21 Tl 0.2424 0.1338 0.5035  2 Dy 3.21-3.41, 6 La 3.27-3.52
22 Tl 0.9965 0.7576 0.6338  2 Dy 3.21-3.41, 6 La 3.27-3.52
23 Tl 0.0035 0.2576 0.8662  2 Dy 3.21-3.41, 6 La 3.27-3.52
24 Tl 0.8662 0.0035 0.2576  2 Dy 3.21-3.41, 6 La 3.27-3.52
25 Dy 0.0757 0.5757 0.9243  6 Tl 3.21-3.41
26 Dy 0.9243 0.0757 0.5757  6 Tl 3.21-3.41
27 Dy 0.4243 0.4243 0.4243  6 Tl 3.21-3.41
28 Dy 0.5757 0.9243 0.0757  6 Tl 3.21-3.41

Size of the total moment: 0.00 μB per cell
Space-group type: P2_13 (198)
Fermi-level density of states: 1.054 states/eV/atom

Stability ranking, top and bottom: B is the most stable and A is the least stable.

A | First-principles (PBE) data for an optimized crystal structure of La2DyTl3, as listed in Alexandria.

Unit cell a=3.8602 b=3.8602 c=12.1057 alpha=90.00 beta=90.00 gamma=90.00
With the nearest neighbours (Å) after each atom.
Element x y z (fractional)
1 La 0.5000 0.5000 0.8259  8 Tl 3.45-3.46, 4 La 3.86
2 La 0.5000 0.5000 0.1741  8 Tl 3.45-3.46, 4 La 3.86
3 Tl 0.0000 0.0000 0.0000  8 La 3.45, 4 Tl 3.86
4 Tl 0.0000 0.0000 0.6505  4 Dy 3.28, 4 La 3.46, 1 Tl 3.64
5 Tl 0.0000 0.0000 0.3495  4 Dy 3.28, 4 La 3.46, 1 Tl 3.64
6 Dy 0.5000 0.5000 0.5000  8 Tl 3.28

Size of the total moment: 0.00 μB per cell
Space-group type: P4/mmm (123)
Fermi-level density of states: 0.807 states/eV/atom

B | First-principles (PBE) data for an optimized crystal structure of La2DyTl3, as listed in Alexandria.

Unit cell a=3.8263 b=6.8304 c=14.9255 alpha=90.00 beta=97.36 gamma=90.00
With the nearest neighbours (Å) after each atom.
Element x y z (fractional)
1 La 0.8433 0.2500 0.6866  6 Tl 3.34-3.41
2 La 0.0063 0.2500 0.0125  8 Tl 3.39-3.55, 2 La 3.44
3 La 0.9937 0.7500 0.9875  8 Tl 3.39-3.55, 2 La 3.44
4 La 0.1567 0.7500 0.3134  6 Tl 3.34-3.41
5 Dy 0.6663 0.2500 0.3327  4 Tl 3.15-3.16
6 Dy 0.3337 0.7500 0.6673  4 Tl 3.15-3.16
7 Tl 0.2507 0.2500 0.5015  2 Dy 3.15, 2 La 3.34
8 Tl 0.7493 0.7500 0.4985  2 Dy 3.15, 2 La 3.34
9 Tl 0.5786 0.5124 0.1572  1 Dy 3.16, 1 Tl 3.25, 4 La 3.39-3.41
10 Tl 0.4214 0.0124 0.8428  1 Dy 3.16, 1 Tl 3.25, 4 La 3.39-3.41
11 Tl 0.4214 0.4876 0.8428  1 Dy 3.16, 1 Tl 3.25, 4 La 3.39-3.41
12 Tl 0.5786 0.9876 0.1572  1 Dy 3.16, 1 Tl 3.25, 4 La 3.39-3.41

Size of the total moment: 0.00 μB per cell
Space-group type: Cmcm (63)
Fermi-level density of states: 0.948 states/eV/atom

Stability ranking, top and bottom: A is the most stable and B is the least stable.